Record 1
A relaxed structure of Mg4GaPt5. Source: Alexandria, functional PBE.

V: 15.7 Å³ per atom
energy relative to the elements: -822 meV/atom
D(E_F): 0.279 states/eV per atom
symmetry: P4/mmm (123)

abc: 2.948 2.948 18.090
angles: 90.00 90.00 90.00
Atoms (fractional coordinates):
Mg (0.000, 0.000, 0.200)
Mg (0.000, 0.000, 0.400)
Mg (0.000, 0.000, 0.600)
Mg (0.000, 0.000, 0.800)
Ga (0.000, 0.000, 0.000)
Pt (0.500, 0.500, 0.092)
Pt (0.500, 0.500, 0.299)
Pt (0.500, 0.500, 0.500)
Pt (0.500, 0.500, 0.701)
Pt (0.500, 0.500, 0.908)

=====

Record 2
A relaxed structure of MgCdSi2. Source: Alexandria, functional PBE.

V: 19.3 Å³ per atom
D(E_F): 0.363 states/eV per atom
total DFT energy (no corrections): -3.12 eV/atom
symmetry: P2/m (10)

abc: 4.247 3.076 5.926
angles: 90.22 90.00 90.00
Atoms (fractional coordinates):
Cd (0.500, 0.250, 0.250)
Mg (0.500, 0.750, 0.750)
Si (0.000, 0.251, 0.953)
Si (0.000, 0.249, 0.547)

=====

Record 3
A relaxed structure of CeNpP. Source: Alexandria, functional PBE.

V: 21.4 Å³ per atom
energy relative to the elements: -520 meV/atom
D(E_F): 2.449 states/eV per atom
symmetry: P3m1 (156)

abc: 5.247 3.756 3.756
angles: 120.00 90.00 90.00
Atoms (fractional coordinates):
Np (0.340, 0.667, 0.333)
P (0.653, 0.333, 0.667)
Ce (0.007, 0.000, 0.000)

=====

Record 4
A relaxed structure of LaPaGa2O8. Source: Alexandria, functional PBE.

V: 14.4 Å³ per atom
D(E_F): 0.975 states/eV per atom
total DFT energy (no corrections): -7.37 eV/atom
symmetry: I-4m2 (119)

abc: 6.083 6.083 6.083
angles: 108.60 108.60 111.24
Atoms (fractional coordinates):
La (0.000, 0.000, 0.000)
Pa (0.250, 0.750, 0.500)
Ga (0.750, 0.250, 0.500)
Ga (0.500, 0.500, 0.000)
O (0.377, 0.050, 0.327)
O (0.316, 0.512, 0.195)
O (0.316, 0.121, 0.805)
O (0.723, 0.050, 0.673)
O (0.879, 0.684, 0.195)
O (0.950, 0.277, 0.327)
O (0.950, 0.623, 0.673)
O (0.488, 0.684, 0.805)

=====

Record 5
A relaxed structure of Pm3In2Pb2. Source: Alexandria, functional PBE.

V: 29.2 Å³ per atom
energy relative to the elements: -485 meV/atom
D(E_F): 0.545 states/eV per atom
symmetry: C2/m (12)

abc: 4.886 6.380 7.316
angles: 102.64 90.00 112.51
Atoms (fractional coordinates):
Pm (0.341, 0.682, 0.404)
Pm (0.659, 0.318, 0.596)
Pm (0.500, 0.000, 0.000)
In (0.783, 0.567, 0.109)
In (0.217, 0.433, 0.891)
Pb (0.954, 0.909, 0.692)
Pb (0.046, 0.091, 0.308)

=====

Record 6
A relaxed structure of RbTl3. Source: Alexandria, functional PBE.

V: 37.8 Å³ per atom
energy relative to the elements: -77 meV/atom
D(E_F): 0.448 states/eV per atom
symmetry: Pmmn (59)

abc: 5.236 7.023 8.213
angles: 90.00 90.00 90.00
Atoms (fractional coordinates):
Rb (0.000, 0.000, 0.409)
Rb (0.500, 0.500, 0.591)
Tl (0.500, 0.000, 0.751)
Tl (0.000, 0.742, 0.887)
Tl (0.500, 0.758, 0.113)
Tl (0.000, 0.500, 0.249)
Tl (0.000, 0.258, 0.887)
Tl (0.500, 0.242, 0.113)

=====

Record 7
A relaxed structure of Eu3PdPb. Source: Alexandria, functional PBE.

V: 35.9 Å³ per atom
energy relative to the elements: -381 meV/atom
D(E_F): 5.752 states/eV per atom
symmetry: Pm-3m (221)

abc: 5.642 5.642 5.642
angles: 90.00 90.00 90.00
Atoms (fractional coordinates):
Pb (0.500, 0.500, 0.500)
Eu (0.000, 0.500, 0.000)
Eu (0.000, 0.000, 0.500)
Eu (0.500, 0.000, 0.000)
Pd (0.000, 0.000, 0.000)

=====

Record 8
A relaxed structure of La5Y. Source: Alexandria, functional PBE.

V: 35.9 Å³ per atom
energy relative to the elements: 16 meV/atom
D(E_F): 1.937 states/eV per atom
symmetry: P4/mmm (123)

abc: 15.658 3.709 3.709
angles: 90.00 90.00 90.00
Atoms (fractional coordinates):
La (0.997, 0.000, 0.000)
La (0.165, 0.500, 0.500)
La (0.333, 0.000, 0.000)
La (0.502, 0.500, 0.500)
La (0.670, 0.000, 0.000)
Y (0.833, 0.500, 0.500)

=====

Record 9
A relaxed structure of CeDyPuO6. Source: Alexandria, functional PBE.

V: 15.2 Å³ per atom
D(E_F): 1.143 states/eV per atom
total DFT energy (no corrections): -9.18 eV/atom
symmetry: P-31c (163)

abc: 5.760 5.760 9.495
angles: 90.00 90.00 120.00
Atoms (fractional coordinates):
Ce (0.000, 0.000, 0.000)
Ce (0.000, 0.000, 0.500)
Dy (0.333, 0.667, 0.250)
Dy (0.667, 0.333, 0.750)
Pu (0.667, 0.333, 0.250)
Pu (0.333, 0.667, 0.750)
O (0.670, 0.650, 0.132)
O (0.980, 0.330, 0.132)
O (0.330, 0.980, 0.632)
O (0.020, 0.670, 0.868)
O (0.350, 0.330, 0.368)
O (0.980, 0.650, 0.368)
O (0.650, 0.980, 0.868)
O (0.670, 0.020, 0.368)
O (0.020, 0.350, 0.632)
O (0.350, 0.020, 0.132)
O (0.650, 0.670, 0.632)
O (0.330, 0.350, 0.868)

=====

Record 10
A relaxed structure of NdTlPb2. Source: Alexandria, functional PBE.

V: 30.9 Å³ per atom
energy relative to the elements: -224 meV/atom
D(E_F): 1.071 states/eV per atom
symmetry: P4/mmm (123)

abc: 4.291 4.291 6.711
angles: 90.00 90.00 90.00
Atoms (fractional coordinates):
Pb (0.000, 0.000, 0.759)
Pb (0.000, 0.000, 0.241)
Tl (0.500, 0.500, 0.500)
Nd (0.500, 0.500, 0.000)

=====

Record 11
A relaxed structure of TcW2Au. Source: Alexandria, functional PBE.

V: 16.2 Å³ per atom
energy relative to the elements: 320 meV/atom
D(E_F): 0.913 states/eV per atom
symmetry: Cmmm (65)

abc: 2.740 2.740 9.028
angles: 90.00 90.00 107.22
Atoms (fractional coordinates):
Au (0.500, 0.500, 0.250)
Tc (0.500, 0.500, 0.750)
W (0.000, 0.000, 0.987)
W (0.000, 0.000, 0.513)

=====

Record 12
A relaxed structure of KLiCa. Source: Alexandria, functional PBE.

V: 48.6 Å³ per atom
energy relative to the elements: 319 meV/atom
D(E_F): 0.762 states/eV per atom
symmetry: F-43m (216)

abc: 5.908 5.908 5.908
angles: 60.00 60.00 60.00
Atoms (fractional coordinates):
Ca (0.000, 0.000, 0.000)
K (0.500, 0.500, 0.500)
Li (0.750, 0.750, 0.750)

=====

Number 1: M_tot 0.0000 μB per atom. Number 2: M_tot 0.0000 μB per atom. Number 3: M_tot 1.4287 μB per atom. Number 4: M_tot 0.0815 μB per atom. Number 5: M_tot 0.0000 μB per atom. Number 6: M_tot 0.0000 μB per atom. Number 7: M_tot 4.2064 μB per atom. Number 8: M_tot 0.0001 μB per atom. Number 9: M_tot 0.3378 μB per atom. Number 10: M_tot 0.0000 μB per atom. Number 11: M_tot 0.0000 μB per atom. Number 12: M_tot 0.0000 μB per atom.